# HfAl2RhS

A relaxed HfAl2RhS crystal (PBE-GGA, Alexandria).

It has space group P4/mmm (No. 123), with a = 4.445 Å, b = 4.445 Å, c = 4.658 Å, α = 90.00°, β = 90.00° and γ = 90.00°. The distinct sites, in fractional coordinates, are Hf at (0.000, 0.000, 0.000), Al at (0.000, 0.500, 0.500), Rh at (0.500, 0.500, 0.000) and S at (0.000, 0.000, 0.500).

The calculation puts the density of states at the Fermi level at 3.74 states/eV/cell. For the magnetization, the calculation gives 0.000 μB/atom. The formation energy from raw total energies is 0.86 eV per formula unit.


# CaNbRu2

A relaxed CaNbRu2 crystal (PBE-GGA, Alexandria).

It has space group P4/mmm (No. 123), with a = 3.217 Å, b = 3.217 Å, c = 6.940 Å, α = 90.00°, β = 90.00° and γ = 90.00°. The distinct sites, in fractional coordinates, are Ca at (0.000, 0.000, 0.000), Nb at (0.000, 0.000, 0.500) and Ru at (0.500, 0.500, 0.289).

The calculation puts the density of states at the Fermi level at 2.45 states/eV/cell. For the magnetization, the calculation gives 0.000 μB/atom. As for the formation energy from the elements: -0.108 eV per atom.


# Dy5Bi2Ir

A relaxed Dy5Bi2Ir crystal (PBE-GGA, Alexandria).

It has space group Cmcm (No. 63), with a = 5.887 Å, b = 9.414 Å, c = 16.606 Å, α = 90.00°, β = 90.00° and γ = 90.00°. The distinct sites, in fractional coordinates, are Dy at (0.000, 0.063, 0.100), Dy at (0.000, 0.255, 0.750), Dy at (0.000, 0.398, 0.145), Bi at (0.000, 0.279, 0.558) and Ir at (0.000, 0.168, 0.250).

The calculation puts the density of states at the Fermi level at 23.17 states/eV/cell. For the magnetization, the calculation gives 0.000 μB/atom. As for the formation energy from the elements: -0.434 eV per atom.


# Tb5Pr5Ho

A relaxed Tb5Pr5Ho crystal (PBE-GGA, Alexandria).

It has space group C2/m (No. 12), with a = 19.087 Å, b = 6.063 Å, c = 7.076 Å, α = 90.00°, β = 111.67° and γ = 90.00°. The distinct sites, in fractional coordinates, are Tb at (0.000, 0.000, 0.000), Tb at (0.122, 0.500, 0.123), Tb at (0.169, 0.500, 0.670), Pr at (0.000, 0.500, 0.500), Pr at (0.175, 0.000, 0.431), Pr at (0.175, 0.000, 0.920) and Ho at (0.000, 0.000, 0.500).

The calculation puts the density of states at the Fermi level at 37.29 states/eV/cell. For the magnetization, the calculation gives 0.020 μB/atom. As for the formation energy from the elements: 0.252 eV per atom.


# Er2ScRu3

A relaxed Er2ScRu3 crystal (PBE-GGA, Alexandria).

It has space group Cmmm (No. 65), with a = 4.683 Å, b = 14.057 Å, c = 6.661 Å, α = 90.00°, β = 90.00° and γ = 90.00°. The distinct sites, in fractional coordinates, are Er at (0.000, 0.000, 0.000), Er at (0.000, 0.000, 0.500), Er at (0.000, 0.333, 0.000), Sc at (0.000, 0.331, 0.500), Ru at (0.000, 0.169, 0.259) and Ru at (0.000, 0.500, 0.256).

The distance to the lowest polymorph of the same formula is 0.09 kcal/mol of atoms. The calculation puts the density of states at the Fermi level at 28.58 states/eV/cell. For the magnetization, the calculation gives 0.000 μB/atom. As for the formation energy from the elements: -0.422 eV per atom.


# AcGaP2

A relaxed AcGaP2 crystal (PBE-GGA, Alexandria).

It has space group P4/mmm (No. 123), with a = 4.698 Å, b = 4.698 Å, c = 4.066 Å, α = 90.00°, β = 90.00° and γ = 90.00°. The distinct sites, in fractional coordinates, are Ac at (0.000, 0.000, 0.000), Ga at (0.500, 0.500, 0.000) and P at (0.000, 0.500, 0.500).

The distance to the lowest polymorph of the same formula is 2.04 kcal/mol of atoms. The calculation puts the density of states at the Fermi level at 1.87 states/eV/cell. For the magnetization, the calculation gives 0.000 μB/atom. As for the formation energy from the elements: -0.448 eV per atom.


# La3Tb3Sm2

A relaxed La3Tb3Sm2 crystal (PBE-GGA, Alexandria).

It has space group P-1 (No. 2), with a = 6.285 Å, b = 6.343 Å, c = 8.149 Å, α = 104.89°, β = 104.67° and γ = 109.72°. The distinct sites, in fractional coordinates, are La at (0.000, 0.000, 0.000), La at (0.124, 0.624, 0.248), Tb at (0.376, 0.876, 0.751), Tb at (0.500, 0.500, 0.000) and Sm at (0.251, 0.251, 0.501).

The distance to the lowest polymorph of the same formula is 0.00 kcal/mol of atoms. The calculation puts the density of states at the Fermi level at 12.89 states/eV/cell. For the magnetization, the calculation gives 0.000 μB/atom. As for the formation energy from the elements: 0.021 eV per atom.


# SrMg2Cu

A relaxed SrMg2Cu crystal (PBE-GGA, Alexandria).

It has space group Pnma (No. 62), with a = 16.567 Å, b = 8.202 Å, c = 5.949 Å, α = 90.00°, β = 90.00° and γ = 90.00°. The distinct sites, in fractional coordinates, are Sr at (0.106, 0.250, 0.228), Sr at (0.136, 0.750, 0.041), Mg at (0.042, 0.059, 0.719), Mg at (0.211, 0.558, 0.538), Cu at (0.069, 0.750, 0.531) and Cu at (0.186, 0.250, 0.746).

The calculation puts the density of states at the Fermi level at 22.33 states/eV/cell. For the magnetization, the calculation gives 0.000 μB/atom. As for the formation energy from the elements: -0.101 eV per atom.


- Which of these has the highest magnetization?
  Tb5Pr5Ho